# 1
Material: Pr2MnTcN5
Method: DFT, PBE
State: relaxed

Output
Formation energy (no corrections)   -631 meV/atom
Crystal system   orthorhombic

Lattice parameters (Å, degrees): 3.371 13.904 9.989 90.00 90.00 90.00
Space group Cmc2_1 (No. 36)
Inequivalent atoms, fractional coordinates:
Pr 0.000 0.122 0.000 (multiplicity 4)
Pr 0.000 0.130 0.629 (multiplicity 4)
Mn 0.000 0.440 0.759 (multiplicity 4)
Tc 0.000 0.204 0.336 (multiplicity 4)
N 0.000 0.037 0.327 (multiplicity 4)
N 0.000 0.303 0.956 (multiplicity 4)
N 0.000 0.317 0.688 (multiplicity 4)
N 0.000 0.339 0.319 (multiplicity 4)
N 0.000 0.497 0.600 (multiplicity 4)



# 2
Material: Sm2Zn15Ag2
Method: DFT, PBE
State: relaxed

Output
E_form   -0.243 eV per atom
Crystal system   trigonal

Lattice parameters (Å, degrees): 9.0916 9.0916 13.2954 90.00 90.00 120.00
Space group R-3m (No. 166, hexagonal axes)
Inequivalent atoms, fractional coordinates:
Sm 0.0000 0.0000 0.1591 (multiplicity 6)
Zn 0.0000 0.2951 0.5000 (multiplicity 18)
Zn 0.0000 0.5000 0.0000 (multiplicity 9)
Zn 0.0095 0.5048 0.6525 (multiplicity 18)
Ag 0.0000 0.0000 0.3939 (multiplicity 6)



# 3
Material: SrAsRu2
Method: DFT, PBE
State: relaxed

Output
E_form   0.238 eV per atom
Crystal system   monoclinic

Lattice parameters (Å, degrees): 3.182 3.890 6.583 90.00 102.86 90.00
Space group P2/m (No. 10)
Inequivalent atoms, fractional coordinates:
Sr 0.000 0.000 0.000 (multiplicity 1)
As 0.000 0.000 0.500 (multiplicity 1)
Ru 0.345 0.500 0.678 (multiplicity 2)



# 4
Material: MgTaIn
Method: DFT, PBE
State: relaxed

Output
E_form   0.339 eV per atom
Crystal system   orthorhombic

Lattice parameters (Å, degrees): 2.965 4.032 10.061 90.00 90.00 90.00
Space group Imm2 (No. 44)
Inequivalent atoms, fractional coordinates:
Mg 0.000 0.000 0.000 (multiplicity 2)
Ta 0.000 0.000 0.665 (multiplicity 2)
In 0.000 0.000 0.335 (multiplicity 2)



# 5
Material: BeAu2Br
Method: DFT, PBE
State: relaxed

Output
Formation energy (no corrections)   84 meV/atom
Crystal system   orthorhombic
ΔE to the lowest computed polymorph   0.200 eV/atom

Lattice parameters (Å, degrees): 3.089 5.750 9.385 90.00 90.00 90.00
Space group Cmm2 (No. 35)
Inequivalent atoms, fractional coordinates:
Be 0.000 0.000 0.000 (multiplicity 2)
Au 0.000 0.000 0.448 (multiplicity 2)
Au 0.000 0.500 0.190 (multiplicity 2)
Br 0.000 0.500 0.836 (multiplicity 2)



# 6
Material: LuZrSc2
Method: DFT, PBE
State: relaxed

Output
E_form   0.102 eV per atom
Crystal system   tetragonal
ΔE to the lowest computed polymorph   0.050 eV/atom

Lattice parameters (Å, degrees): 3.771 3.771 7.075 90.00 90.00 90.00
Space group P4/mmm (No. 123)
Inequivalent atoms, fractional coordinates:
Lu 0.000 0.000 0.000 (multiplicity 1)
Zr 0.000 0.000 0.500 (multiplicity 1)
Sc 0.500 0.500 0.275 (multiplicity 2)



# 7
Material: Ca2AcAg
Method: DFT, PBE
State: relaxed

Output
E_form   -0.113 eV per atom
Crystal system   tetragonal
ΔE to the lowest computed polymorph   0.031 eV/atom

Lattice parameters (Å, degrees): 3.811 3.811 9.424 90.00 90.00 90.00
Space group P4/mmm (No. 123)
Inequivalent atoms, fractional coordinates:
Ca 0.000 0.000 0.189 (multiplicity 2)
Ac 0.500 0.500 0.500 (multiplicity 1)
Ag 0.500 0.500 0.000 (multiplicity 1)



# 8
Material: KBeBr3
Method: DFT, PBE
State: relaxed

Output
Formation energy (no corrections)   334 meV/atom
Crystal system   cubic
ΔE to the lowest computed polymorph   1.651 eV/atom

Lattice parameters (Å, degrees): 6.124 6.124 6.124 90.00 90.00 90.00
Space group Pm-3m (No. 221)
Inequivalent atoms, fractional coordinates:
K 0.000 0.000 0.000 (multiplicity 1)
Be 0.500 0.500 0.500 (multiplicity 1)
Br 0.000 0.000 0.500 (multiplicity 3)



# 9
Material: Na2Pr
Method: DFT, PBE
State: relaxed

Output
E_form   0.106 eV per atom
Crystal system   triclinic
ΔE to the lowest computed polymorph   0.000 eV/atom

Lattice parameters (Å, degrees): 3.594 3.600 9.747 79.64 79.63 60.16
Space group P1 (No. 1)
Inequivalent atoms, fractional coordinates:
Na 0.000 0.000 0.000 (multiplicity 1)
Na 0.457 0.457 0.656 (multiplicity 1)
Pr 0.233 0.229 0.328 (multiplicity 1)



# 10
Material: AcCoPN
Method: DFT, PBE
State: relaxed

Output
Formation energy (no corrections)   -785 meV/atom
Crystal system   orthorhombic

Lattice parameters (Å, degrees): 4.023 3.797 9.129 90.00 90.00 90.00
Space group Amm2 (No. 38)
Inequivalent atoms, fractional coordinates:
Ac 0.000 0.000 0.000 (multiplicity 2)
Co 0.500 0.000 0.698 (multiplicity 2)
P 0.500 0.000 0.311 (multiplicity 2)
N 0.500 0.000 0.497 (multiplicity 2)



# 11
Material: K2TlAgCl4
Method: DFT, PBE
State: relaxed

Output
Formation energy (no corrections)   -1328 meV/atom
Crystal system   orthorhombic

Lattice parameters (Å, degrees): 4.401 14.834 15.578 90.00 90.00 90.00
Space group Cmcm (No. 63)
Inequivalent atoms, fractional coordinates:
K 0.000 0.130 0.051 (multiplicity 8)
Tl 0.000 0.374 0.250 (multiplicity 4)
Ag 0.000 0.353 0.750 (multiplicity 4)
Cl 0.000 0.054 0.250 (multiplicity 4)
Cl 0.000 0.232 0.627 (multiplicity 8)
Cl 0.000 0.500 0.000 (multiplicity 4)



# 12
Material: Co2Rh2W
Method: DFT, PBE
State: relaxed

Output
E_form   0.231 eV per atom
Crystal system   tetragonal
ΔE to the lowest computed polymorph   0.077 eV/atom

Lattice parameters (Å, degrees): 7.054 7.054 2.721 90.00 90.00 90.00
Space group P4/mbm (No. 127)
Inequivalent atoms, fractional coordinates:
Co 0.168 0.332 0.000 (multiplicity 4)
Rh 0.130 0.630 0.500 (multiplicity 4)
W 0.000 0.000 0.500 (multiplicity 2)



Number 1: raw total energy -8.488 eV/atom, magnetization 3.6 μB per cell. Number 2: raw total energy -2.046 eV/atom, magnetization 0.0 μB per cell. Number 3: raw total energy -5.983 eV/atom, magnetization 0.0 μB per cell. Number 4: raw total energy -5.057 eV/atom, magnetization 0.0 μB per cell. Number 5: raw total energy -2.904 eV/atom, magnetization 0.0 μB per cell. Number 6: raw total energy -6.331 eV/atom, magnetization 0.0 μB per cell. Number 7: raw total energy -2.854 eV/atom, magnetization 0.0 μB per cell. Number 8: raw total energy -1.635 eV/atom, magnetization 2.1 μB per cell. Number 9: raw total energy -2.366 eV/atom, magnetization 0.0 μB per cell. Number 10: raw total energy -7.022 eV/atom, magnetization 0.0 μB per cell. Number 11: raw total energy -3.178 eV/atom, magnetization 0.0 μB per cell. Number 12: raw total energy -8.142 eV/atom, magnetization 6.2 μB per cell.